# CrNiGe2

A relaxed CrNiGe2 crystal (PBE, the Alexandria database).

Unit cell a=2.8828 b=2.8828 c=25.9080 alpha=90.00 beta=90.00 gamma=120.00
Closest atoms and distances in Å follow each position.
Space group R-3m (No. 166, hexagonal axes)
Inequivalent atoms, fractional coordinates:
Cr 0.0000 0.0000 0.0000  2 Ge 2.48
Ni 0.0000 0.0000 0.5000  6 Ge 2.48
Ge 0.0000 0.0000 0.0957  1 Cr 2.48, 3 Ni 2.48

Values from the calculation:
The calculation puts the formation enthalpy at 0 K at 298 meV per atom. The calculation puts the electronic total energy at -5.86 eV/atom.

=====

# Zr5CoIr2

A relaxed Zr5CoIr2 crystal (PBE, the Alexandria database).

Unit cell a=7.8272 b=10.9212 c=3.6931 alpha=90.00 beta=90.00 gamma=90.00
Closest atoms and distances in Å follow each position.
Space group Pbam (No. 55)
Inequivalent atoms, fractional coordinates:
Zr 0.0000 0.0000 0.0000  4 Ir 2.74
Zr 0.1474 0.2907 0.0000  1 Co 2.56, 2 Ir 2.80
Zr 0.1825 0.5765 0.5000  2 Co 2.48
Co 0.0000 0.5000 0.0000  6 Zr 2.48-2.56
Ir 0.0700 0.8218 0.5000  7 Zr 2.74-2.90

Values from the calculation:
The calculation puts the formation enthalpy at 0 K at -502 meV per atom. The calculation puts the electronic total energy at -8.95 eV/atom.

=====

# Mg8Ni2Hg

A relaxed Mg8Ni2Hg crystal (PBE, the Alexandria database).

Unit cell a=7.8765 b=11.6870 c=4.9649 alpha=90.00 beta=103.87 gamma=90.00
Closest atoms and distances in Å follow each position.
Space group C2/m (No. 12)
Inequivalent atoms, fractional coordinates:
Mg 0.0000 0.2491 0.0000  2 Ni 2.60
Mg 0.1139 0.0000 0.7994  2 Ni 2.64
Mg 0.1953 0.3676 0.5843  2 Ni 2.60-2.62
Ni 0.0000 0.1833 0.5000  8 Mg 2.60-2.64
Hg 0.0000 0.5000 0.0000  8 Mg 2.93-3.25

Values from the calculation:
The calculation puts the formation enthalpy at 0 K at -94 meV per atom. The calculation puts the electronic total energy at -2.33 eV/atom. Its excess energy over the best structure of this formula in the dataset is 0.0247 eV per atom.